A plane-wave DFT calculation with PBE was carried out for an optimized crystal structure of Tl2HgPb.

Lattice parameters (Å, degrees): 7.2349 7.2349 7.2349 153.54 132.42 55.27
With the nearest neighbours (Å) after each atom.
Positions (direct):
Tl  0.2428  0.2428  0.0000  1 Hg 3.11, 1 Pb 3.30, 6 Tl 3.31-3.36
Tl  0.7572  0.7572  0.0000  1 Hg 3.11, 1 Pb 3.30, 6 Tl 3.31-3.36
Hg  0.0000  0.0000  0.0000  2 Tl 3.11, 2 Hg 3.31, 4 Pb 3.36
Pb  0.5000  0.5000  0.0000  2 Tl 3.30, 2 Pb 3.31, 4 Hg 3.36

Summary:
energy relative to the elements: 0.086 eV per atom
spin magnetization: 0.00 μB per cell

---

A plane-wave DFT calculation with PBE was carried out for an optimized crystal structure of Na3Tl6Cd.

Lattice parameters (Å, degrees): 8.3929 8.3929 8.3929 89.57 89.57 89.57
With the nearest neighbours (Å) after each atom.
Positions (direct):
Na  0.2260  0.6298  0.7593  5 Tl 3.17-3.51, 1 Cd 3.34, 2 Na 3.48
Na  0.2407  0.7740  0.3702  5 Tl 3.17-3.51, 1 Cd 3.34, 2 Na 3.48
Na  0.3702  0.2407  0.7740  5 Tl 3.17-3.51, 1 Cd 3.34, 2 Na 3.48
Na  0.6298  0.7593  0.2260  5 Tl 3.17-3.51, 1 Cd 3.34, 2 Na 3.48
Na  0.7593  0.2260  0.6298  5 Tl 3.17-3.51, 1 Cd 3.34, 2 Na 3.48
Na  0.7740  0.3702  0.2407  5 Tl 3.17-3.51, 1 Cd 3.34, 2 Na 3.48
Tl  0.0087  0.3478  0.8848  1 Cd 3.07, 3 Na 3.17-3.29, 1 Tl 3.22
Tl  0.1152  0.9913  0.6522  1 Cd 3.07, 3 Na 3.17-3.29, 1 Tl 3.22
Tl  0.1258  0.3529  0.4541  5 Tl 3.33-3.66, 1 Cd 3.41, 4 Na 3.47-3.58
Tl  0.3478  0.8848  0.0087  1 Cd 3.07, 3 Na 3.17-3.29, 1 Tl 3.22
Tl  0.3529  0.4541  0.1258  5 Tl 3.33-3.66, 1 Cd 3.41, 4 Na 3.47-3.58
Tl  0.4541  0.1258  0.3529  5 Tl 3.33-3.66, 1 Cd 3.41, 4 Na 3.47-3.58
Tl  0.5459  0.8742  0.6471  5 Tl 3.33-3.66, 1 Cd 3.41, 4 Na 3.47-3.58
Tl  0.6471  0.5459  0.8742  5 Tl 3.33-3.66, 1 Cd 3.41, 4 Na 3.47-3.58
Tl  0.6522  0.1152  0.9913  1 Cd 3.07, 3 Na 3.17-3.29, 1 Tl 3.22
Tl  0.8742  0.6471  0.5459  5 Tl 3.33-3.66, 1 Cd 3.41, 4 Na 3.47-3.58
Tl  0.8848  0.0087  0.3478  1 Cd 3.07, 3 Na 3.17-3.29, 1 Tl 3.22
Tl  0.9913  0.6522  0.1152  1 Cd 3.07, 3 Na 3.17-3.29, 1 Tl 3.22
Cd  0.0000  0.0000  0.0000  6 Tl 3.07
Cd  0.5000  0.5000  0.5000  6 Na 3.34, 6 Tl 3.41

Summary:
energy relative to the elements: -0.038 eV per atom
spin magnetization: 0.00 μB per cell